(1)
The following is a PBE-GGA calculation of an optimized crystal structure of CrHgAs2, from the Alexandria database.

Cell: 5.1866 5.1866 5.1866 Å, 131.32 131.32 71.31°
Positions (direct):
1 As 0.0000 0.0000 0.0000
2 As 0.5000 0.5000 0.0000
3 Cr 0.2500 0.7500 0.5000
4 Hg 0.7500 0.2500 0.5000

Properties
M_tot	3.5	μB/cell
E_form	1.5	eV/f.u.
E_tot	-4.436	eV/atom



(2)
The following is a PBE-GGA calculation of an optimized crystal structure of Ac4InCo, from the Alexandria database.

Cell: 6.5120 7.5706 9.8066 Å, 112.71 108.59 90.00°
Positions (direct):
1 Ac 0.7956 0.3074 0.6148
2 Ac 0.6162 0.3659 0.2327
3 Ac 0.0000 0.2408 0.0000
4 Ac 0.3838 0.1331 0.7673
5 Ac 0.2044 0.6926 0.3852
6 Ac 0.3838 0.6341 0.7673
7 Ac 0.0000 0.7592 0.0000
8 Ac 0.6162 0.8669 0.2327
9 In 0.1969 0.1946 0.3892
10 In 0.8031 0.8054 0.6108
11 Co 0.6680 0.4794 0.9589
12 Co 0.3320 0.5206 0.0411

Properties
M_tot	0.0	μB/cell
E_form	-0.8	eV/f.u.
energy above the most stable polymorph in this dataset	0.00	kJ/mol of atoms
E_tot	-4.513	eV/atom



(3)
The following is a PBE-GGA calculation of an optimized crystal structure of ErScAg2Se4, from the Alexandria database.

Cell: 4.0504 6.9723 7.0072 Å, 70.12 90.00 90.00°
Positions (direct):
1 Er 0.5000 0.5000 0.0000
2 Sc 0.0000 0.5000 0.5000
3 Ag 0.0000 0.0000 0.0000
4 Ag 0.5000 0.0000 0.5000
5 Se 0.0000 0.7384 0.7439
6 Se 0.0000 0.2616 0.2561
7 Se 0.5000 0.7344 0.2624
8 Se 0.5000 0.2656 0.7376

Properties
raw formation energy	-8.8	eV/f.u.
M_tot	0.0	μB/cell
E_tot	-4.911	eV/atom



(4)
The following is a PBE-GGA calculation of an optimized crystal structure of AlTlBr4, from the Alexandria database.

Cell: 5.5078 7.5418 13.8300 Å, 105.55 90.00 111.42°
Positions (direct):
1 Al 0.0856 0.1712 0.7369
2 Al 0.9144 0.8288 0.2631
3 Tl 0.1744 0.3489 0.1858
4 Tl 0.8256 0.6511 0.8142
5 Br 0.0712 0.1424 0.3765
6 Br 0.1013 0.2027 0.9091
7 Br 0.7677 0.5355 0.3128
8 Br 0.5907 0.1813 0.7379
9 Br 0.4093 0.8187 0.2621
10 Br 0.2323 0.4645 0.6872
11 Br 0.8987 0.7973 0.0909
12 Br 0.9288 0.8576 0.6235

Properties
raw formation energy	-5.8	eV/f.u.
M_tot	0.0	μB/cell
energy above the most stable polymorph in this dataset	11.32	kJ/mol of atoms
E_tot	-3.102	eV/atom



(5)
The following is a PBE-GGA calculation of an optimized crystal structure of GdPuGaSi, from the Alexandria database.

Cell: 5.0138 5.0138 5.0138 Å, 60.00 60.00 60.00°
Positions (direct):
1 Si 0.7500 0.7500 0.7500
2 Gd 0.5000 0.5000 0.5000
3 Ga 0.2500 0.2500 0.2500
4 Pu 0.0000 0.0000 0.0000

Properties
raw formation energy	-1.6	eV/f.u.
M_tot	12.7	μB/cell
E_tot	-9.614	eV/atom



(6)
The following is a PBE-GGA calculation of an optimized crystal structure of TmMg2Zn2Pd5, from the Alexandria database.

Cell: 3.8806 9.4615 9.4615 Å, 90.00 90.00 90.00°
Positions (direct):
1 Tm 0.0000 0.0000 0.0000
2 Tm 0.0000 0.5000 0.5000
3 Mg 0.0000 0.6708 0.1708
4 Mg 0.0000 0.3292 0.8292
5 Mg 0.0000 0.1708 0.3292
6 Mg 0.0000 0.8292 0.6708
7 Zn 0.0000 0.1227 0.6227
8 Zn 0.0000 0.8773 0.3773
9 Zn 0.0000 0.6227 0.8773
10 Zn 0.0000 0.3773 0.1227
11 Pd 0.5000 0.2012 0.0862
12 Pd 0.5000 0.7988 0.9138
13 Pd 0.5000 0.0862 0.7988
14 Pd 0.5000 0.7012 0.4138
15 Pd 0.5000 0.9138 0.2012
16 Pd 0.5000 0.2988 0.5862
17 Pd 0.5000 0.5862 0.7012
18 Pd 0.5000 0.4138 0.2988
19 Pd 0.5000 0.5000 0.0000
20 Pd 0.5000 0.0000 0.5000

Properties
M_tot	0.0	μB/cell
E_form	-6.1	eV/f.u.
E_tot	-4.224	eV/atom